No. 1
The following is a DFT calculation (PBE) of a relaxed structure of NpTlCuI6.

## Properties
The energy relative to the elements, uncorrected is -0.56 eV per atom. The value obtained for the volume is 43.22 Å³/atom.

Unit cell a=7.6022 b=7.6022 c=15.5417 alpha=90.00 beta=90.00 gamma=120.00
Space group P-31c (No. 163)
Symmetry-distinct sites (fractional):
1 Np 0.3333 0.6667 0.2500 [2 per cell]
2 Tl 0.0000 0.0000 0.0000 [2 per cell]
3 Cu 0.3333 0.6667 0.7500 [2 per cell]
4 I 0.0136 0.3697 0.6410 [12 per cell]

***

No. 2
The following is a DFT calculation (PBE) of a relaxed structure of HoScPa2S4.

## Properties
The energy relative to the elements, uncorrected is -1.73 eV per atom. The value obtained for the volume is 20.01 Å³/atom.

Unit cell a=6.4296 b=3.7158 c=7.0344 alpha=90.00 beta=107.76 gamma=90.00
Space group P2/m (No. 10)
Symmetry-distinct sites (fractional):
1 Ho 0.0000 0.0000 0.0000 [1 per cell]
2 Sc 0.5000 0.5000 0.0000 [1 per cell]
3 Pa 0.0000 0.5000 0.5000 [1 per cell]
4 Pa 0.5000 0.0000 0.5000 [1 per cell]
5 S 0.2523 0.5000 0.2361 [2 per cell]
6 S 0.2630 0.0000 0.7681 [2 per cell]

***

No. 3
The following is a DFT calculation (PBE) of a relaxed structure of Te4Pt3.

## Properties
The value obtained for the energy above the most stable polymorph in this dataset is 410 meV per atom. The energy relative to the elements, uncorrected is 0.02 eV per atom. The value obtained for the volume is 24.20 Å³/atom.

Unit cell a=3.5977 b=3.5977 c=26.1800 alpha=90.00 beta=90.00 gamma=90.00
Space group I4/mmm (No. 139)
Symmetry-distinct sites (fractional):
1 Te 0.0000 0.0000 0.0550 [4 per cell]
2 Te 0.0000 0.0000 0.3243 [4 per cell]
3 Pt 0.0000 0.0000 0.2195 [4 per cell]
4 Pt 0.0000 0.0000 0.5000 [2 per cell]

***

No. 4
The following is a DFT calculation (PBE) of a relaxed structure of TbPr6Dy2Tm.

## Properties
The value obtained for the calculated formation energy is 0.115 eV/atom. The value obtained for the volume is 34.53 Å³/atom.

Unit cell a=9.3205 b=15.4314 c=9.6840 alpha=90.00 beta=97.42 gamma=90.00
Space group C2/c (No. 15)
Symmetry-distinct sites (fractional):
1 Tb 0.0000 0.0271 0.2500 [4 per cell]
2 Pr 0.0598 0.1765 0.9462 [8 per cell]
3 Pr 0.0985 0.3911 0.1169 [8 per cell]
4 Pr 0.2151 0.2207 0.3098 [8 per cell]
5 Dy 0.2496 0.0483 0.5464 [8 per cell]
6 Tm 0.0000 0.4127 0.7500 [4 per cell]

***

No. 5
The following is a DFT calculation (PBE) of a relaxed structure of CsPH3O3F.

## Properties
For the total energy, the calculation gives -5.355 eV/atom. The value obtained for the volume is 14.94 Å³/atom.

Unit cell a=5.7562 b=4.9545 c=18.9012 alpha=90.00 beta=93.58 gamma=90.00
Space group P2_1/c (No. 14)
Symmetry-distinct sites (fractional):
1 Cs 0.2206 0.1525 0.4158 [4 per cell]
2 P 0.3014 0.1955 0.1760 [4 per cell]
3 H 0.1898 0.0287 0.2240 [4 per cell]
4 H 0.2414 0.5319 0.5602 [4 per cell]
5 H 0.3215 0.5538 0.2469 [4 per cell]
6 O 0.1814 0.1581 0.1020 [4 per cell]
7 O 0.2395 0.0061 0.6988 [4 per cell]
8 O 0.4385 0.6378 0.3174 [4 per cell]
9 F 0.2779 0.6895 0.5229 [4 per cell]

***

No. 6
The following is a DFT calculation (PBE) of a relaxed structure of BaBAsC2.

## Properties
The value obtained for the calculated formation energy is 2.199 eV/atom. The value obtained for the volume is 16.55 Å³/atom.

Unit cell a=3.9418 b=3.9418 c=5.3266 alpha=90.00 beta=90.00 gamma=90.00
Space group P4/mmm (No. 123)
Symmetry-distinct sites (fractional):
1 Ba 0.0000 0.0000 0.0000 [1 per cell]
2 B 0.0000 0.0000 0.5000 [1 per cell]
3 As 0.5000 0.5000 0.0000 [1 per cell]
4 C 0.0000 0.5000 0.5000 [2 per cell]